[1]
DFT (PBE-GGA) results for a relaxed structure of YEr4Lu.

Unit cell a=6.487 b=6.487 c=6.487 alpha=60.00 beta=60.00 gamma=60.00
Sites, in units of the cell vectors:
Er: 0.625 0.625 0.125
Er: 0.625 0.125 0.625
Er: 0.625 0.625 0.625
Er: 0.125 0.625 0.625
Y: 0.250 0.250 0.250
Lu: 0.000 0.000 0.000

Calculated formation energy   1.5 eV per formula unit
Space group   F-43m (216)

=====

[2]
DFT (PBE-GGA) results for a relaxed structure of PrTe2Pb.

Unit cell a=4.413 b=4.413 c=8.580 alpha=75.10 beta=75.10 gamma=60.00
Sites, in units of the cell vectors:
Pb: 0.665 0.665 0.005
Te: 0.249 0.249 0.252
Te: 0.085 0.085 0.744
Pr: 0.500 0.500 0.499

Space group   R3m (160)
Uncorrected formation energy   -0.86 eV per atom

=====

[3]
DFT (PBE-GGA) results for a relaxed structure of TlSnGe.

Unit cell a=3.378 b=3.378 c=8.105 alpha=90.00 beta=90.00 gamma=120.00
Sites, in units of the cell vectors:
Tl: 0.000 0.000 0.016
Ge: 0.667 0.333 0.350
Sn: 0.333 0.667 0.633

Offset from the most stable computed form   0 meV/atom
Calculated formation energy   0.5 eV per formula unit
Space group   P3m1 (156)

=====

[4]
DFT (PBE-GGA) results for a relaxed structure of LiY2In.

Unit cell a=6.273 b=6.273 c=6.273 alpha=145.56 beta=131.23 gamma=61.06
Sites, in units of the cell vectors:
Y: 0.012 0.012 0.000
Y: 0.739 0.239 0.500
Li: 0.278 0.778 0.500
In: 0.470 0.470 0.000

Calculated formation energy   -0.8 eV per formula unit
Space group   Imm2 (44)

=====

[5]
DFT (PBE-GGA) results for a relaxed structure of Sm4Te2AsAu.

Unit cell a=4.273 b=7.584 c=7.598 alpha=71.33 beta=90.00 gamma=90.00
Sites, in units of the cell vectors:
Sm: 0.000 0.729 0.753
Sm: 0.000 0.271 0.247
Sm: 0.500 0.727 0.265
Sm: 0.500 0.273 0.735
As: 0.000 0.500 0.500
Te: 0.000 0.000 0.000
Te: 0.500 0.000 0.500
Au: 0.500 0.500 0.000

Space group   P2/m (10)
Uncorrected formation energy   -1.28 eV per atom

=====

[6]
DFT (PBE-GGA) results for a relaxed structure of HoErIrPt.

Unit cell a=4.859 b=4.859 c=4.859 alpha=60.00 beta=60.00 gamma=60.00
Sites, in units of the cell vectors:
Pt: 0.750 0.750 0.750
Ir: 0.250 0.250 0.250
Er: 0.500 0.500 0.500
Ho: 0.000 0.000 0.000

Offset from the most stable computed form   15 meV/atom
Calculated formation energy   -4.2 eV per formula unit
Space group   F-43m (216)

=====

[7]
DFT (PBE-GGA) results for a relaxed structure of Tb3Pm2NdAs6.

Unit cell a=4.196 b=8.386 c=9.376 alpha=102.88 beta=102.93 gamma=90.00
Sites, in units of the cell vectors:
Tb: 0.500 0.500 0.000
Tb: 0.833 0.167 0.667
Tb: 0.167 0.833 0.333
Pm: 0.833 0.666 0.666
Pm: 0.167 0.334 0.334
As: 0.999 0.255 0.997
As: 0.335 0.413 0.669
As: 0.669 0.080 0.337
As: 0.001 0.745 0.003
As: 0.331 0.920 0.663
As: 0.665 0.587 0.331
Nd: 0.500 0.000 0.000

Calculated formation energy   -18.3 eV per formula unit
Space group   C2/m (12)

=====

[8]
DFT (PBE-GGA) results for a relaxed structure of Li2Ga4Ru.

Unit cell a=6.731 b=5.236 c=5.236 alpha=65.60 beta=50.01 gamma=50.01
Sites, in units of the cell vectors:
Li: 0.500 0.500 0.500
Li: 0.000 0.500 0.500
Ga: 0.000 0.500 0.000
Ga: 0.000 0.000 0.500
Ga: 0.500 0.500 0.000
Ga: 0.500 0.000 0.500
Ru: 0.000 0.000 0.000

Offset from the most stable computed form   0 meV/atom
Calculated formation energy   -1.6 eV per formula unit
Space group   I4/mmm (139)

=====

[9]
DFT (PBE-GGA) results for a relaxed structure of Ce8Ge6Os.

Unit cell a=8.545 b=8.545 c=7.658 alpha=56.09 beta=56.09 gamma=60.00
Sites, in units of the cell vectors:
Ce: 0.502 0.269 0.255
Ce: 0.026 0.498 0.745
Ce: 0.423 0.423 0.732
Ce: 0.974 0.502 0.255
Ce: 0.498 0.731 0.745
Ce: 0.731 0.026 0.745
Ce: 0.577 0.577 0.268
Ce: 0.269 0.974 0.255
Ge: 0.205 0.680 0.227
Ge: 0.320 0.111 0.773
Ge: 0.889 0.205 0.227
Ge: 0.795 0.320 0.773
Ge: 0.680 0.889 0.227
Ge: 0.111 0.795 0.773
Os: 0.000 0.000 0.000

Calculated formation energy   -6.0 eV per formula unit
Space group   R-3 (148)

=====

[10]
DFT (PBE-GGA) results for a relaxed structure of KFeSi2.

Unit cell a=9.428 b=9.428 c=9.428 alpha=18.33 beta=18.33 gamma=18.33
Sites, in units of the cell vectors:
Si: 0.248 0.248 0.248
Si: 0.982 0.982 0.982
K: 0.750 0.750 0.750
Fe: 0.521 0.521 0.521

Offset from the most stable computed form   598 meV/atom
Space group   R3m (160)
Uncorrected formation energy   0.64 eV per atom

=====

[11]
DFT (PBE-GGA) results for a relaxed structure of CrBiAs2W.

Unit cell a=4.587 b=4.923 c=4.587 alpha=90.00 beta=90.00 gamma=90.00
Sites, in units of the cell vectors:
Cr: 0.000 0.000 0.000
As: 0.500 0.000 0.000
As: 0.000 0.000 0.500
W: 0.000 0.500 0.000
Bi: 0.500 0.500 0.500

Calculated formation energy   4.3 eV per formula unit
Space group   P4/mmm (123)

=====

[12]
DFT (PBE-GGA) results for a relaxed structure of AlCdIn.

Unit cell a=5.170 b=5.170 c=5.986 alpha=90.00 beta=90.00 gamma=120.00
Sites, in units of the cell vectors:
Al: 0.667 0.333 0.750
Al: 0.333 0.667 0.250
In: 0.667 0.333 0.250
In: 0.333 0.667 0.750
Cd: 0.000 0.000 0.000
Cd: 0.000 0.000 0.500

Calculated formation energy   0.6 eV per formula unit
Space group   P6_3/mmc (194)

=====

[13]
DFT (PBE-GGA) results for a relaxed structure of Cs3NbCl7.

Unit cell a=7.357 b=10.364 c=10.364 alpha=90.00 beta=90.00 gamma=90.00
Sites, in units of the cell vectors:
Cs: 0.500 0.820 0.320
Cs: 0.000 0.000 0.000
Cs: 0.000 0.500 0.500
Cs: 0.500 0.320 0.180
Cs: 0.500 0.680 0.820
Cs: 0.500 0.180 0.680
Cl: 0.500 0.500 0.500
Cl: 0.000 0.667 0.833
Cl: 0.236 0.616 0.116
Cl: 0.236 0.384 0.884
Cl: 0.500 0.000 0.000
Cl: 0.236 0.884 0.616
Cl: 0.764 0.116 0.384
Cl: 0.236 0.116 0.384
Cl: 0.000 0.333 0.167
Cl: 0.764 0.884 0.616
Cl: 0.000 0.167 0.667
Cl: 0.764 0.616 0.116
Cl: 0.764 0.384 0.884
Cl: 0.000 0.833 0.333
Nb: 0.000 0.500 0.000
Nb: 0.000 0.000 0.500

Space group   P4/mbm (127)
Uncorrected formation energy   -1.69 eV per atom

=====

[14]
DFT (PBE-GGA) results for a relaxed structure of Be2CoAs.

Unit cell a=3.041 b=3.041 c=4.659 alpha=90.00 beta=90.00 gamma=90.00
Sites, in units of the cell vectors:
Be: 0.500 0.500 0.241
Be: 0.000 0.000 0.020
Co: 0.000 0.000 0.496
As: 0.500 0.500 0.743

Calculated formation energy   0.2 eV per formula unit
Space group   P4mm (99)

=====

| no. | total DFT energy (no corrections) (eV per atom) | M_tot (μB/f.u.) |
| --- | --- | --- |
| 1 | -4.63 | 0.00 |
| 2 | -4.55 | 0.82 |
| 3 | -3.50 | 0.00 |
| 4 | -4.60 | 0.63 |
| 5 | -5.42 | 0.00 |
| 6 | -7.07 | 0.00 |
| 7 | -6.20 | 0.00 |
| 8 | -3.82 | 0.00 |
| 9 | -6.16 | 5.55 |
| 10 | -4.46 | 2.11 |
| 11 | -6.30 | 1.01 |
| 12 | -2.27 | 0.00 |
| 13 | -4.01 | 1.00 |
| 14 | -4.75 | 0.00 |